Record 1
VASP calculation (GGA-PBE) on a relaxed structure of MnPPt2.

Output
Formation energy from the elements, meV per atom: -177
N(E_F), states/eV/cell: 2.19
Total energy, eV/atom: -6.842

a = 3.432 Å, b = 3.432 Å, c = 5.262 Å
α = 90.00°, β = 90.00°, γ = 90.00°
Sites, in units of the cell vectors:
1 Mn 0.000 0.000 0.000
2 P 0.500 0.500 0.344
3 Pt 0.000 0.000 0.486
4 Pt 0.500 0.500 0.807

Record 2
VASP calculation (GGA-PBE) on a relaxed structure of LiPmSmZn.

Output
Formation energy from the elements, meV per atom: -110
N(E_F), states/eV/cell: 6.25
Total energy, eV/atom: -3.274

a = 5.221 Å, b = 5.221 Å, c = 5.221 Å
α = 60.00°, β = 60.00°, γ = 60.00°
Sites, in units of the cell vectors:
1 Li 0.000 0.000 0.000
2 Pm 0.750 0.750 0.750
3 Sm 0.250 0.250 0.250
4 Zn 0.500 0.500 0.500

Record 3
VASP calculation (GGA-PBE) on a relaxed structure of YZrHg.

Output
Formation energy from the elements, meV per atom: 165
N(E_F), states/eV/cell: 3.51
Total energy, eV/atom: -4.940

a = 4.942 Å, b = 4.942 Å, c = 4.942 Å
α = 60.00°, β = 60.00°, γ = 60.00°
Sites, in units of the cell vectors:
1 Y 0.000 0.000 0.000
2 Zr 0.500 0.500 0.500
3 Hg 0.750 0.750 0.750

Record 4
VASP calculation (GGA-PBE) on a relaxed structure of ErSO.

Output
N(E_F), states/eV/cell: 3.25
Total energy, eV/atom: -6.768
Formation energy (no corrections), eV/atom: -2.219

a = 8.777 Å, b = 8.777 Å, c = 8.777 Å
α = 24.87°, β = 24.87°, γ = 24.87°
Sites, in units of the cell vectors:
1 Er 0.223 0.223 0.223
2 Er 0.777 0.777 0.777
3 S 0.372 0.372 0.372
4 S 0.628 0.628 0.628
5 O 0.134 0.134 0.134
6 O 0.866 0.866 0.866

Record 5
VASP calculation (GGA-PBE) on a relaxed structure of Nd3PuCo.

Output
Formation energy from the elements, meV per atom: 205
N(E_F), states/eV/cell: 17.48
Total energy, eV/atom: -6.944

a = 5.421 Å, b = 5.421 Å, c = 5.421 Å
α = 90.00°, β = 90.00°, γ = 90.00°
Sites, in units of the cell vectors:
1 Nd 0.000 0.000 0.500
2 Nd 0.000 0.500 0.000
3 Nd 0.500 0.000 0.000
4 Pu 0.500 0.500 0.500
5 Co 0.000 0.000 0.000

Record 6
VASP calculation (GGA-PBE) on a relaxed structure of KSrTe2Pb.

Output
N(E_F), states/eV/cell: 3.39
Total energy, eV/atom: -2.635
Formation energy (no corrections), eV/atom: -0.081

a = 6.122 Å, b = 6.122 Å, c = 6.091 Å
α = 90.00°, β = 90.00°, γ = 90.00°
Sites, in units of the cell vectors:
1 K 0.000 0.000 0.000
2 Sr 0.000 0.000 0.500
3 Te 0.000 0.500 0.500
4 Te 0.500 0.000 0.500
5 Pb 0.500 0.500 0.000

Record 7
VASP calculation (GGA-PBE) on a relaxed structure of CaTm4ScS8.

Output
N(E_F), states/eV/cell: 3.83
Total energy, eV/atom: -6.198
Formation energy (no corrections), eV/atom: -1.967

a = 7.893 Å, b = 7.893 Å, c = 7.893 Å
α = 60.72°, β = 60.72°, γ = 60.72°
Sites, in units of the cell vectors:
1 Ca 0.000 0.000 0.000
2 Tm 0.116 0.625 0.625
3 Tm 0.246 0.246 0.246
4 Tm 0.625 0.116 0.625
5 Tm 0.625 0.625 0.116
6 Sc 0.625 0.625 0.625
7 S 0.380 0.380 0.380
8 S 0.384 0.384 0.847
9 S 0.384 0.847 0.384
10 S 0.409 0.856 0.856
11 S 0.847 0.384 0.384
12 S 0.856 0.409 0.856
13 S 0.856 0.856 0.409
14 S 0.862 0.862 0.862

Record 8
VASP calculation (GGA-PBE) on a relaxed structure of NaGe3Te.

Output
N(E_F), states/eV/cell: 4.73
Total energy, eV/atom: -2.767
Formation energy (no corrections), eV/atom: 0.896

a = 5.130 Å, b = 5.130 Å, c = 5.130 Å
α = 90.00°, β = 90.00°, γ = 90.00°
Sites, in units of the cell vectors:
1 Na 0.000 0.000 0.000
2 Ge 0.000 0.000 0.500
3 Ge 0.000 0.500 0.000
4 Ge 0.500 0.000 0.000
5 Te 0.500 0.500 0.500

Record 9
VASP calculation (GGA-PBE) on a relaxed structure of TlBRh3.

Output
Formation energy from the elements, meV per atom: -85
N(E_F), states/eV/cell: 4.94
Total energy, eV/atom: -6.305

a = 2.920 Å, b = 5.715 Å, c = 4.622 Å
α = 90.00°, β = 108.37°, γ = 90.00°
Sites, in units of the cell vectors:
1 Tl 0.000 0.000 0.000
2 B 0.852 0.500 0.701
3 Rh 0.271 0.256 0.538
4 Rh 0.271 0.744 0.538
5 Rh 0.543 0.500 0.081

Record 10
VASP calculation (GGA-PBE) on a relaxed structure of LiGdPdPt.

Output
Formation energy from the elements, meV per atom: -790
N(E_F), states/eV/cell: 0.29
Total energy, eV/atom: -7.597

a = 4.725 Å, b = 4.725 Å, c = 4.725 Å
α = 60.00°, β = 60.00°, γ = 60.00°
Sites, in units of the cell vectors:
1 Li 0.000 0.000 0.000
2 Gd 0.500 0.500 0.500
3 Pd 0.250 0.250 0.250
4 Pt 0.750 0.750 0.750

Record 11
VASP calculation (GGA-PBE) on a relaxed structure of Co2PbAu.

Output
Formation energy from the elements, meV per atom: 381
N(E_F), states/eV/cell: 4.25
Total energy, eV/atom: -4.918

a = 4.055 Å, b = 5.263 Å, c = 5.263 Å
α = 37.05°, β = 90.00°, γ = 90.00°
Sites, in units of the cell vectors:
1 Co 0.000 0.000 0.000
2 Co 0.500 0.122 0.122
3 Pb 0.000 0.729 0.729
4 Au 0.500 0.413 0.413

Record 12
VASP calculation (GGA-PBE) on a relaxed structure of V5ReW4.

Output
Formation energy from the elements, meV per atom: -148
N(E_F), states/eV/cell: 7.83
Total energy, eV/atom: -11.133

a = 3.073 Å, b = 3.073 Å, c = 15.385 Å
α = 90.00°, β = 90.00°, γ = 90.00°
Sites, in units of the cell vectors:
1 V 0.000 0.000 0.000
2 V 0.000 0.000 0.201
3 V 0.000 0.000 0.402
4 V 0.000 0.000 0.598
5 V 0.000 0.000 0.799
6 Re 0.500 0.500 0.500
7 W 0.500 0.500 0.101
8 W 0.500 0.500 0.301
9 W 0.500 0.500 0.699
10 W 0.500 0.500 0.899

Record 13
VASP calculation (GGA-PBE) on a relaxed structure of RbRe2SiAg.

Output
N(E_F), states/eV/cell: 6.20
Total energy, eV/atom: -3.147
Formation energy (no corrections), eV/atom: 3.680

a = 4.821 Å, b = 4.821 Å, c = 5.109 Å
α = 90.00°, β = 90.00°, γ = 90.00°
Sites, in units of the cell vectors:
1 Rb 0.000 0.000 0.000
2 Re 0.000 0.500 0.000
3 Re 0.500 0.000 0.000
4 Si 0.000 0.000 0.500
5 Ag 0.500 0.500 0.500

Record 14
VASP calculation (GGA-PBE) on a relaxed structure of BH3Pb.

Output
N(E_F), states/eV/cell: 1.80
Total energy, eV/atom: -3.204

a = 3.562 Å, b = 3.562 Å, c = 3.562 Å
α = 90.00°, β = 90.00°, γ = 90.00°
Sites, in units of the cell vectors:
1 B 0.000 0.000 0.000
2 H 0.000 0.000 0.500
3 H 0.000 0.500 0.000
4 H 0.500 0.000 0.000
5 Pb 0.500 0.500 0.500

Record 15
VASP calculation (GGA-PBE) on a relaxed structure of KNaRh3.

Output
Formation energy from the elements, meV per atom: 1935
N(E_F), states/eV/cell: 9.60
Total energy, eV/atom: -2.959

a = 4.910 Å, b = 4.910 Å, c = 4.910 Å
α = 90.00°, β = 90.00°, γ = 90.00°
Sites, in units of the cell vectors:
1 K 0.000 0.000 0.000
2 Na 0.500 0.500 0.500
3 Rh 0.000 0.000 0.500
4 Rh 0.000 0.500 0.000
5 Rh 0.500 0.000 0.000

Record 16
VASP calculation (GGA-PBE) on a relaxed structure of LaIrPt2O.

Output
N(E_F), states/eV/cell: 11.65
Total energy, eV/atom: -5.377
Formation energy (no corrections), eV/atom: 0.788

a = 5.306 Å, b = 5.306 Å, c = 4.017 Å
α = 90.00°, β = 90.00°, γ = 90.00°
Sites, in units of the cell vectors:
1 La 0.000 0.000 0.000
2 Ir 0.500 0.500 0.500
3 Pt 0.000 0.500 0.000
4 Pt 0.500 0.000 0.000
5 O 0.000 0.000 0.500

Record 17
VASP calculation (GGA-PBE) on a relaxed structure of Cd3IrAu.

Output
Formation energy from the elements, meV per atom: 530
N(E_F), states/eV/cell: 2.21
Total energy, eV/atom: -2.446

a = 5.157 Å, b = 5.157 Å, c = 5.157 Å
α = 90.00°, β = 90.00°, γ = 90.00°
Sites, in units of the cell vectors:
1 Cd 0.000 0.000 0.500
2 Cd 0.000 0.500 0.000
3 Cd 0.500 0.000 0.000
4 Ir 0.000 0.000 0.000
5 Au 0.500 0.500 0.500

Record 18
VASP calculation (GGA-PBE) on a relaxed structure of Dy6ZnSe5.

Output
N(E_F), states/eV/cell: 4.01
Total energy, eV/atom: -5.398
Formation energy (no corrections), eV/atom: -1.539

a = 7.100 Å, b = 7.100 Å, c = 7.079 Å
α = 99.62°, β = 99.62°, γ = 119.93°
Sites, in units of the cell vectors:
1 Dy 0.081 0.405 0.743
2 Dy 0.242 0.242 0.255
3 Dy 0.405 0.081 0.743
4 Dy 0.595 0.919 0.257
5 Dy 0.758 0.758 0.745
6 Dy 0.919 0.595 0.257
7 Zn 0.000 0.000 0.500
8 Se 0.171 0.829 0.000
9 Se 0.334 0.666 0.500
10 Se 0.500 0.500 0.000
11 Se 0.666 0.334 0.500
12 Se 0.829 0.171 0.000

Record 19
VASP calculation (GGA-PBE) on a relaxed structure of KBeW2.

Output
Formation energy from the elements, meV per atom: 910
N(E_F), states/eV/cell: 2.71
Total energy, eV/atom: -6.773

a = 2.732 Å, b = 2.732 Å, c = 9.462 Å
α = 90.00°, β = 90.00°, γ = 95.92°
Sites, in units of the cell vectors:
1 K 0.000 0.000 0.000
2 Be 0.000 0.000 0.500
3 W 0.500 0.500 0.330
4 W 0.500 0.500 0.670

Record 20
VASP calculation (GGA-PBE) on a relaxed structure of Sc2TiTl.

Output
Formation energy from the elements, meV per atom: 392
N(E_F), states/eV/cell: 3.69
Total energy, eV/atom: -5.339

a = 6.594 Å, b = 6.594 Å, c = 6.594 Å
α = 152.45°, β = 133.89°, γ = 54.56°
Sites, in units of the cell vectors:
1 Sc 0.248 0.248 0.000
2 Sc 0.752 0.752 0.000
3 Ti 0.000 0.000 0.000
4 Tl 0.500 0.500 0.000